[1]
Compound: Ta2V3Mo3
Source: the Alexandria database
Functional: PBE
Structure: optimized geometry

It has space group Immm (No. 71), with a = 3.145 Å, b = 4.546 Å, c = 17.360 Å, α = 90.00°, β = 90.00° and γ = 90.00°. The distinct sites, in fractional coordinates, are Ta at (0.000, 0.000, 0.249), V at (0.000, 0.000, 0.000), V at (0.000, 0.500, 0.119), Mo at (0.000, 0.000, 0.500) and Mo at (0.000, 0.500, 0.381).

Its density of states at the Fermi level is 0.976 states/eV per atom.

=====

[2]
Compound: TaV3Mo6
Source: the Alexandria database
Functional: PBE
Structure: optimized geometry

It has space group P-1 (No. 2), with a = 2.754 Å, b = 8.792 Å, c = 12.724 Å, α = 89.74°, β = 85.71° and γ = 89.85°. The distinct sites, in fractional coordinates, are Ta at (0.150, 0.131, 0.053), V at (0.251, 0.376, 0.748), V at (0.348, 0.125, 0.450), V at (0.448, 0.383, 0.153), Mo at (0.046, 0.378, 0.350), Mo at (0.049, 0.876, 0.355), Mo at (0.151, 0.620, 0.053), Mo at (0.255, 0.870, 0.745), Mo at (0.347, 0.628, 0.450) and Mo at (0.446, 0.871, 0.155).

Its density of states at the Fermi level is 0.737 states/eV per atom.

=====

[3]
Compound: Ta3V2Mo7
Source: the Alexandria database
Functional: PBE
Structure: optimized geometry

It has space group Cmmm (No. 65), with a = 4.363 Å, b = 21.251 Å, c = 4.545 Å, α = 90.00°, β = 90.00° and γ = 90.00°. The distinct sites, in fractional coordinates, are Ta at (0.000, 0.000, 0.000), Ta at (0.000, 0.154, 0.000), V at (0.000, 0.354, 0.500), Mo at (0.000, 0.077, 0.500), Mo at (0.000, 0.219, 0.500), Mo at (0.000, 0.424, 0.000) and Mo at (0.000, 0.500, 0.500).

Its density of states at the Fermi level is 1.071 states/eV per atom.

=====

[4]
Compound: Ta3VMo
Source: the Alexandria database
Functional: PBE
Structure: optimized geometry

It has space group P2_1/c (No. 14), with a = 7.732 Å, b = 5.655 Å, c = 9.515 Å, α = 90.00°, β = 122.35° and γ = 90.00°. The distinct sites, in fractional coordinates, are Ta at (0.034, 0.084, 0.299), Ta at (0.352, 0.150, 0.733), Ta at (0.369, 0.670, 0.890), V at (0.311, 0.078, 0.992) and Mo at (0.117, 0.701, 0.551).

Its density of states at the Fermi level is 0.717 states/eV per atom.

=====

[5]
Compound: TaVMo3
Source: the Alexandria database
Functional: PBE
Structure: optimized geometry

It has space group P1 (No. 1), with a = 5.265 Å, b = 5.314 Å, c = 7.079 Å, α = 74.08°, β = 72.92° and γ = 60.56°. The distinct sites, in fractional coordinates, are Ta at (0.000, 0.000, 0.000), Ta at (0.151, 0.158, 0.571), V at (0.089, 0.592, 0.801), V at (0.499, 0.508, 0.497), Mo at (0.409, 0.407, 0.188), Mo at (0.434, 0.903, 0.189), Mo at (0.565, 0.114, 0.804), Mo at (0.601, 0.609, 0.801), Mo at (0.850, 0.847, 0.422) and Mo at (0.919, 0.425, 0.180).

Its density of states at the Fermi level is 0.963 states/eV per atom.

=====

[6]
Compound: Ta4VMo2
Source: the Alexandria database
Functional: PBE
Structure: optimized geometry

It has space group I4/mmm (No. 139), with a = 6.336 Å, b = 6.336 Å, c = 6.351 Å, α = 90.00°, β = 90.00° and γ = 90.00°. The distinct sites, in fractional coordinates, are Ta at (0.250, 0.250, 0.250), V at (0.000, 0.000, 0.000) and Mo at (0.000, 0.500, 0.000).

Its density of states at the Fermi level is 1.281 states/eV per atom.

=====

[7]
Compound: Ta2VMo2
Source: the Alexandria database
Functional: PBE
Structure: optimized geometry

It has space group Cmcm (No. 63), with a = 5.317 Å, b = 13.592 Å, c = 4.808 Å, α = 90.00°, β = 90.00° and γ = 90.00°. The distinct sites, in fractional coordinates, are Ta at (0.000, 0.066, 0.250), Ta at (0.000, 0.318, 0.750), V at (0.000, 0.500, 0.000) and Mo at (0.246, 0.146, 0.750).

Its density of states at the Fermi level is 0.892 states/eV per atom.

=====

[8]
Compound: Ta3VMo8
Source: the Alexandria database
Functional: PBE
Structure: optimized geometry

It has space group P-1 (No. 2), with a = 4.506 Å, b = 6.937 Å, c = 6.957 Å, α = 80.54°, β = 71.18° and γ = 71.06°. The distinct sites, in fractional coordinates, are Ta at (0.000, 0.000, 0.000), Ta at (0.500, 0.252, 0.748), V at (0.000, 0.500, 0.500), Mo at (0.169, 0.083, 0.578), Mo at (0.169, 0.578, 0.083), Mo at (0.328, 0.172, 0.172) and Mo at (0.332, 0.668, 0.668).

Its density of states at the Fermi level is 0.464 states/eV per atom.

=====

Number 1: density 10.739 Mg/m³, E_tot -10.5165 eV/atom. Number 2: density 9.829 Mg/m³, E_tot -10.5199 eV/atom. Number 3: density 10.375 Mg/m³, E_tot -10.4785 eV/atom. Number 4: density 13.036 Mg/m³, E_tot -10.8284 eV/atom. Number 5: density 10.600 Mg/m³, E_tot -10.5430 eV/atom. Number 6: density 12.590 Mg/m³, E_tot -10.9206 eV/atom. Number 7: density 11.559 Mg/m³, E_tot -10.5903 eV/atom. Number 8: density 11.636 Mg/m³, E_tot -11.1028 eV/atom.